# SrSm

A geometry-optimized SrSm structure (PBE, OQMD).

POSCAR file:
```
SrSm
1.0
3.840 0.000 0.000
-1.920 3.326 0.000
0.000 0.000 6.409
Sm Sr
1 1
Direct
0.667 0.333 0.750
0.333 0.667 0.250
```

As for the space-group type: P-6m2. For the total energy, the calculation gives -3.0015 eV/atom. Its calculated volume is 40.927 A^3/atom.